# 1
## BW2O (GGA+U)

Data for an optimized crystal structure of BW2O.

Computed properties:
Polymorph energy (0 for the lowest one) (meV/atom): 0
Electronic total energy (eV for the cell shown): -99.632
D(E_F) (states/eV per cell): 5.142
Size of the total moment (Bohr magnetons per cell): 14.9

Cell lengths 4.790, 4.790, 10.537 Å; angles 90.00, 90.00, 90.00 degrees
Positions (direct):
B: 0.000 0.000 0.000
B: 0.000 0.500 0.250
B: 0.500 0.000 0.750
B: 0.500 0.500 0.500
W: 0.238 0.250 0.625
W: 0.250 0.738 0.875
W: 0.250 0.762 0.375
W: 0.262 0.250 0.125
W: 0.738 0.750 0.125
W: 0.750 0.238 0.375
W: 0.750 0.262 0.875
W: 0.762 0.750 0.625
O: 0.000 0.000 0.500
O: 0.000 0.500 0.750
O: 0.500 0.000 0.250
O: 0.500 0.500 0.000

# 2
## BWO2 (GGA+U)

Data for an optimized crystal structure of BWO2.

Computed properties:
Electronic total energy (eV for the cell shown): -76.957
D(E_F) (states/eV per cell): 4.531
Size of the total moment (Bohr magnetons per cell): 0.0

Cell lengths 2.833, 2.833, 17.668 Å; angles 90.00, 90.00, 120.00 degrees
Positions (direct):
B: 0.000 0.000 0.000
B: 0.333 0.667 0.667
B: 0.667 0.333 0.333
W: 0.000 0.000 0.500
W: 0.333 0.667 0.167
W: 0.667 0.333 0.833
O: 0.000 0.000 0.077
O: 0.000 0.000 0.923
O: 0.333 0.667 0.590
O: 0.333 0.667 0.744
O: 0.667 0.333 0.256
O: 0.667 0.333 0.410

# 3
## BW2O (GGA+U)

Data for an optimized crystal structure of BW2O.

Computed properties:
Polymorph energy (0 for the lowest one) (meV/atom): 117
Electronic total energy (eV for the cell shown): -97.762
D(E_F) (states/eV per cell): 6.642
Size of the total moment (Bohr magnetons per cell): 0.0

Cell lengths 5.653, 5.653, 5.653 Å; angles 90.00, 90.00, 90.00 degrees
Positions (direct):
B: 0.000 0.000 0.000
B: 0.000 0.500 0.500
B: 0.500 0.000 0.500
B: 0.500 0.500 0.000
W: 0.250 0.250 0.250
W: 0.250 0.250 0.750
W: 0.250 0.750 0.250
W: 0.250 0.750 0.750
W: 0.750 0.250 0.250
W: 0.750 0.250 0.750
W: 0.750 0.750 0.250
W: 0.750 0.750 0.750
O: 0.000 0.000 0.500
O: 0.000 0.500 0.000
O: 0.500 0.000 0.000
O: 0.500 0.500 0.500

# 4
## B2WO (GGA+U)

Data for an optimized crystal structure of B2WO.

Computed properties:
Electronic total energy (eV for the cell shown): -94.725
D(E_F) (states/eV per cell): 5.146
Size of the total moment (Bohr magnetons per cell): 0.0

Cell lengths 4.964, 4.964, 6.296 Å; angles 90.00, 90.00, 90.00 degrees
Positions (direct):
B: 0.143 0.250 0.125
B: 0.250 0.643 0.375
B: 0.250 0.857 0.875
B: 0.357 0.250 0.625
B: 0.643 0.750 0.625
B: 0.750 0.143 0.875
B: 0.750 0.357 0.375
B: 0.857 0.750 0.125
W: 0.000 0.000 0.500
W: 0.000 0.500 0.750
W: 0.500 0.000 0.250
W: 0.500 0.500 0.000
O: 0.000 0.000 0.000
O: 0.000 0.500 0.250
O: 0.500 0.000 0.750
O: 0.500 0.500 0.500

# 5
## BWO2 (GGA+U)

Data for an optimized crystal structure of BWO2.

Computed properties:
Electronic total energy (eV for the cell shown): -78.077
D(E_F) (states/eV per cell): 3.007
Size of the total moment (Bohr magnetons per cell): 0.0

Cell lengths 2.615, 2.615, 18.146 Å; angles 90.00, 90.00, 120.00 degrees
Positions (direct):
B: 0.000 0.000 0.000
B: 0.333 0.667 0.667
B: 0.667 0.333 0.333
W: 0.000 0.000 0.500
W: 0.333 0.667 0.167
W: 0.667 0.333 0.833
O: 0.000 0.000 0.381
O: 0.000 0.000 0.619
O: 0.333 0.667 0.048
O: 0.333 0.667 0.285
O: 0.667 0.333 0.715
O: 0.667 0.333 0.952

# 6
## BWO4 (GGA+U)

Data for an optimized crystal structure of BWO4.

Computed properties:
Electronic total energy (eV for the cell shown): -90.849
D(E_F) (states/eV per cell): 0.000
Size of the total moment (Bohr magnetons per cell): 2.0

Cell lengths 4.850, 4.850, 7.895 Å; angles 90.00, 90.00, 90.00 degrees
Positions (direct):
B: 0.000 0.000 0.000
B: 0.500 0.500 0.500
W: 0.000 0.500 0.250
W: 0.500 0.000 0.750
O: 0.125 0.218 0.106
O: 0.218 0.875 0.894
O: 0.282 0.625 0.394
O: 0.375 0.282 0.606
O: 0.625 0.718 0.606
O: 0.718 0.375 0.394
O: 0.782 0.125 0.894
O: 0.875 0.782 0.106